<one>
## LiV4OF11 (PBE with a Hubbard U)

Data for crystalline LiV4OF11 at its relaxed geometry.

The structure in CIF format:
```
data_LiV4OF11
_cell_length_a 5.1810
_cell_length_b 5.4957
_cell_length_c 7.6216
_cell_angle_alpha 94.88
_cell_angle_beta 90.06
_cell_angle_gamma 90.61
_space_group_name_H-M_alt 'P 1'
_space_group_IT_number 1
loop_
_space_group_symop_operation_xyz
'x,y,z'
loop_
_atom_site_label
_atom_site_type_symbol
_atom_site_fract_x
_atom_site_fract_y
_atom_site_fract_z
Li1 Li 0.0000 0.0000 0.0000
V1 V 0.0023 0.4166 0.3126
V2 V 0.0087 0.4407 0.8090
V3 V 0.4836 0.9017 0.8055
V4 V 0.5030 0.9119 0.3088
O1 O 0.1881 0.7291 0.8670
F1 F 0.1167 0.4032 0.5530
F2 F 0.1858 0.0967 0.2352
F3 F 0.2912 0.2101 0.8740
F4 F 0.3124 0.6030 0.2511
F5 F 0.3829 0.9170 0.5487
F6 F 0.6345 0.9093 0.0627
F7 F 0.6888 0.6095 0.7419
F8 F 0.6896 0.2247 0.3625
F9 F 0.8047 0.1124 0.7765
F10 F 0.8171 0.7283 0.3656
F11 F 0.8901 0.4026 0.0649
```

***

<two>
## LiV4OF11 (PBE with a Hubbard U)

Data for crystalline LiV4OF11 at its relaxed geometry.

The structure in CIF format:
```
data_LiV4OF11
_cell_length_a 5.2003
_cell_length_b 5.5326
_cell_length_c 17.2301
_cell_angle_alpha 88.79
_cell_angle_beta 81.86
_cell_angle_gamma 62.30
_space_group_name_H-M_alt 'P -1'
_space_group_IT_number 2
loop_
_space_group_symop_operation_xyz
'x,y,z'
'-x,-y,-z'
loop_
_atom_site_label
_atom_site_type_symbol
_atom_site_fract_x
_atom_site_fract_y
_atom_site_fract_z
Li1 Li 0.0559 0.0766 0.3328
V1 V 0.0000 0.0000 0.5000
V2 V 0.0000 0.5000 0.0000
V3 V 0.2342 0.3420 0.6190
V4 V 0.2566 0.8783 0.1238
V5 V 0.4955 0.7389 0.7508
O1 O 0.0607 0.1408 0.5945
F1 F 0.0107 0.3033 0.4312
F2 F 0.0149 0.1931 0.0647
F3 F 0.0497 0.9652 0.7800
F4 F 0.0655 0.6708 0.0903
F5 F 0.0728 0.4599 0.2835
F6 F 0.3971 0.5933 0.6648
F7 F 0.4309 0.2843 0.9674
F8 F 0.4410 0.7758 0.4656
F9 F 0.4422 0.0905 0.1586
F10 F 0.4919 0.5658 0.1854
F11 F 0.4927 0.9600 0.3107
```

***

Top of the stability list: <one>, leading by 1.3 kJ/mol of atoms.